First-principles (PBE) data for LiPmGa4Ru2 after structural relaxation, as listed in Alexandria via LeMat-Bulk.

Cell lengths 8.994, 8.994, 8.994 Å; angles 27.39, 27.39, 27.39 degrees
Fractional coordinates of all 8 atoms:
1 Li 0.000 0.000 0.000
2 Pm 0.500 0.500 0.500
3 Ga 0.099 0.099 0.099
4 Ga 0.369 0.369 0.369
5 Ga 0.631 0.631 0.631
6 Ga 0.901 0.901 0.901
7 Ru 0.268 0.268 0.268
8 Ru 0.732 0.732 0.732

Output
ρ = 7.735 g/cm³
E_form = -416 meV per atom
space-group type = R-3m, No. 166
total energy = -40.65 eV for the cell shown